This record from Alexandria via LeMat-Bulk describes a geometry-optimized InCo2GeO6 structure. The functional is PBE with a Hubbard U.

```
data_InCo2GeO6
_space_group_name_H-M_alt 'P 1'
_space_group_IT_number 1
_space_group_name_Hall 'P 1'
_cell_length_a 5.1550
_cell_length_b 5.1696
_cell_length_c 5.4260
_cell_angle_alpha 90.37
_cell_angle_beta 118.19
_cell_angle_gamma 119.81
loop_
_atom_site_label
_atom_site_fract_x
_atom_site_fract_y
_atom_site_fract_z
In1 0.0000 0.0000 0.0000
Co1 0.5761 0.7902 0.3682
Co2 0.5939 0.2972 0.8906
Ge1 0.9943 0.4961 0.4925
O1 0.0685 0.4090 0.1796
O2 0.1079 0.2211 0.6697
O3 0.4488 0.8878 0.6671
O4 0.5204 0.1118 0.1791
O5 0.7705 0.6623 0.1790
O6 0.7813 0.5605 0.6698
```

Values from the calculation:
Raw total energy in eV/f.u.: -60.008
Crystal system: triclinic
Theoretical density in Mg/m³: 6.351